Run w
{"formula": "Cs7Au4O", "functional": "PBE-GGA", "state": "relaxed", "cell": [[9.438, -2.996, 0.000], [9.438, 2.996, 0.000], [-8.529, 0.000, 10.639]], "species": ["Cs", "Cs", "Cs", "Cs", "Cs", "Cs", "Cs", "Au", "Au", "Au", "Au", "O"], "frac_coords": [[0.000, 0.000, 0.000], [0.135, 0.135, 0.528], [0.274, 0.274, 0.143], [0.445, 0.445, 0.772], [0.555, 0.555, 0.228], [0.726, 0.726, 0.857], [0.865, 0.865, 0.472], [0.096, 0.096, 0.793], [0.224, 0.224, 0.356], [0.776, 0.776, 0.644], [0.904, 0.904, 0.207], [0.500, 0.500, 0.000]], "dos_at_fermi_per_ev_cell": 5.3}

=====

Run x
{"formula": "Cs7Au4O", "functional": "PBE-GGA", "state": "relaxed", "cell": [[9.326, -2.990, 0.000], [9.326, 2.990, 0.000], [-6.515, 0.000, 10.396]], "species": ["Cs", "Cs", "Cs", "Cs", "Cs", "Cs", "Cs", "Au", "Au", "Au", "Au", "O"], "frac_coords": [[0.000, 0.000, 0.000], [0.143, 0.143, 0.553], [0.337, 0.337, 0.976], [0.428, 0.428, 0.736], [0.572, 0.572, 0.264], [0.663, 0.663, 0.024], [0.857, 0.857, 0.447], [0.070, 0.070, 0.772], [0.216, 0.216, 0.313], [0.784, 0.784, 0.687], [0.930, 0.930, 0.228], [0.500, 0.500, 0.000]], "dos_at_fermi_per_ev_cell": 5.2}

=====

Most stable = run x

=====

Run w
{"formula": "Cs6AuO2", "functional": "PBE-GGA", "state": "relaxed", "cell": [[8.523, -3.068, 0.000], [8.523, 3.068, 0.000], [-2.795, 0.000, 10.010]], "species": ["Cs", "Cs", "Cs", "Cs", "Cs", "Cs", "Au", "O", "O"], "frac_coords": [[0.103, 0.103, 0.213], [0.232, 0.232, 0.887], [0.377, 0.377, 0.364], [0.623, 0.623, 0.636], [0.768, 0.768, 0.113], [0.897, 0.897, 0.787], [0.000, 0.000, 0.500], [0.245, 0.245, 0.162], [0.755, 0.755, 0.838]], "dos_at_fermi_per_ev_cell": 2.8}

=====

Run x
{"formula": "Cs6AuO2", "functional": "PBE-GGA", "state": "relaxed", "cell": [[3.917, 2.262, 8.238], [-3.917, 2.262, 8.238], [0.000, -4.523, 8.238]], "species": ["Cs", "Cs", "Cs", "Cs", "Cs", "Cs", "Au", "O", "O"], "frac_coords": [[0.006, 0.391, 0.603], [0.134, 0.732, 0.546], [0.391, 0.603, 0.006], [0.546, 0.134, 0.732], [0.603, 0.006, 0.391], [0.732, 0.546, 0.134], [0.210, 0.210, 0.210], [0.403, 0.403, 0.403], [0.734, 0.734, 0.734]], "dos_at_fermi_per_ev_cell": 3.7}

=====

Most stable = run x

=====

Run w
{"formula": "Cs2AuO", "functional": "PBE-GGA", "state": "relaxed", "cell": [[-4.205, 4.205, 4.860], [4.205, -4.205, 4.860], [4.205, 4.205, -4.860]], "species": ["Cs", "Cs", "Cs", "Cs", "Au", "Au", "O", "O"], "frac_coords": [[0.046, 0.125, 0.421], [0.375, 0.954, 0.079], [0.704, 0.625, 0.579], [0.875, 0.296, 0.921], [0.250, 0.750, 0.500], [0.500, 0.500, 0.000], [0.000, 0.000, 0.000], [0.750, 0.250, 0.500]], "dos_at_fermi_per_ev_cell": 14.7}

=====

Run x
{"formula": "Cs2AuO", "functional": "PBE-GGA", "state": "relaxed", "cell": [[2.042, 1.179, 10.224], [-2.042, 1.179, 10.224], [0.000, -2.358, 10.224]], "species": ["Cs", "Cs", "Au", "O"], "frac_coords": [[0.113, 0.113, 0.113], [0.887, 0.887, 0.887], [0.000, 0.000, 0.000], [0.500, 0.500, 0.500]], "dos_at_fermi_per_ev_cell": 7.0}

=====

Run y
{"formula": "Cs2AuO", "functional": "PBE-GGA", "state": "relaxed", "cell": [[0.000, 4.131, 4.131], [4.131, 0.000, 4.131], [4.131, 4.131, 0.000]], "species": ["Cs", "Cs", "Au", "O"], "frac_coords": [[0.250, 0.250, 0.250], [0.750, 0.750, 0.750], [0.000, 0.000, 0.000], [0.500, 0.500, 0.500]], "dos_at_fermi_per_ev_cell": 8.9}

=====

Most stable = run w

=====

Run w
{"formula": "Cs2Os2Au", "functional": "PBE-GGA", "state": "relaxed", "cell": [[-3.545, 3.545, 3.773], [3.545, -3.545, 3.773], [3.545, 3.545, -3.773]], "species": ["Cs", "Cs", "Os", "Os", "Au"], "frac_coords": [[0.250, 0.750, 0.500], [0.750, 0.250, 0.500], [0.148, 0.148, 0.000], [0.852, 0.852, 0.000], [0.500, 0.500, 0.000]], "dos_at_fermi_per_ev_cell": 9.4}

=====

Run x
{"formula": "Cs2Os2Au", "functional": "PBE-GGA", "state": "relaxed", "cell": [[6.807, 0.000, 0.000], [0.000, 6.807, 0.000], [0.000, 0.000, 5.991]], "species": ["Cs", "Cs", "Cs", "Cs", "Os", "Os", "Os", "Os", "Au", "Au"], "frac_coords": [[0.185, 0.315, 0.000], [0.315, 0.815, 0.000], [0.685, 0.185, 0.000], [0.815, 0.685, 0.000], [0.118, 0.618, 0.500], [0.382, 0.118, 0.500], [0.618, 0.882, 0.500], [0.882, 0.382, 0.500], [0.000, 0.000, 0.500], [0.500, 0.500, 0.500]], "dos_at_fermi_per_ev_cell": 9.4}

=====

Most stable = run x

=====

Run w
{"formula": "CsP2Au", "functional": "PBE-GGA", "state": "relaxed", "cell": [[6.747, 0.000, 0.000], [0.000, 5.700, 0.000], [-1.828, 0.000, 7.212]], "species": ["Cs", "Cs", "P", "P", "P", "P", "Au", "Au"], "frac_coords": [[0.201, 0.250, 0.293], [0.799, 0.750, 0.707], [0.295, 0.060, 0.786], [0.295, 0.440, 0.786], [0.705, 0.560, 0.214], [0.705, 0.940, 0.214], [0.386, 0.750, 0.026], [0.614, 0.250, 0.974]], "dos_at_fermi_per_ev_cell": 0.4}

=====

Run x
{"formula": "CsP2Au", "functional": "PBE-GGA", "state": "relaxed", "cell": [[0.000, 3.601, 3.601], [3.601, 0.000, 3.601], [3.601, 3.601, 0.000]], "species": ["Cs", "P", "P", "Au"], "frac_coords": [[0.000, 0.000, 0.000], [0.250, 0.250, 0.250], [0.750, 0.750, 0.750], [0.500, 0.500, 0.500]], "dos_at_fermi_per_ev_cell": 2.8}

=====

Most stable = run w

=====

Run w
{"formula": "Cs3PbAu", "functional": "PBE-GGA", "state": "relaxed", "cell": [[6.205, -8.840, 0.000], [6.205, 8.840, 0.000], [0.000, 0.000, 5.277]], "species": ["Cs", "Cs", "Cs", "Cs", "Cs", "Cs", "Pb", "Pb", "Au", "Au"], "frac_coords": [[0.124, 0.876, 0.750], [0.168, 0.462, 0.750], [0.462, 0.168, 0.250], [0.538, 0.832, 0.750], [0.832, 0.538, 0.250], [0.876, 0.124, 0.250], [0.450, 0.550, 0.250], [0.550, 0.450, 0.750], [0.275, 0.725, 0.250], [0.725, 0.275, 0.750]], "dos_at_fermi_per_ev_cell": 7.4}

=====

Run x
{"formula": "Cs3PbAu", "functional": "PBE-GGA", "state": "relaxed", "cell": [[6.269, -5.588, 0.000], [6.269, 5.588, 0.000], [-5.613, 0.000, 7.968]], "species": ["Cs", "Cs", "Cs", "Cs", "Cs", "Cs", "Pb", "Pb", "Au", "Au"], "frac_coords": [[0.071, 0.475, 0.807], [0.103, 0.103, 0.310], [0.475, 0.071, 0.807], [0.525, 0.929, 0.193], [0.897, 0.897, 0.690], [0.929, 0.525, 0.193], [0.493, 0.493, 0.649], [0.507, 0.507, 0.351], [0.236, 0.236, 0.062], [0.764, 0.764, 0.938]], "dos_at_fermi_per_ev_cell": 7.2}

=====

Most stable = run w